[1]
# Pm8C3I4O

Crystalline Pm8C3I4O at its relaxed geometry (GGA-PBE, Alexandria via LeMat-Bulk).

```
data_Pm8C3I4O
_space_group_name_H-M_alt 'C 1 2/m 1'
_space_group_IT_number 12
_space_group_name_Hall '-C 2y'
_cell_length_a 13.323
_cell_length_b 7.672
_cell_length_c 8.848
_cell_angle_alpha 90.00
_cell_angle_beta 120.12
_cell_angle_gamma 90.00
loop_
_atom_site_label
_atom_site_fract_x
_atom_site_fract_y
_atom_site_fract_z
Pm1 0.027 0.248 0.330
Pm2 0.225 0.000 0.674
Pm3 0.225 0.500 0.671
C1 0.000 0.000 0.500
C2 0.250 0.250 0.500
I1 0.000 0.000 0.000
I2 0.000 0.500 0.000
I3 0.250 0.250 0.000
O1 0.000 0.500 0.500
```

As for the raw formation energy: -22.9 kcal/mol of atoms. The total magnetic moment is 0.000 μB/f.u.

***

[2]
# PmC2IO6

Crystalline PmC2IO6 at its relaxed geometry (GGA-PBE, Alexandria via LeMat-Bulk).

```
data_PmC2IO6
_space_group_name_H-M_alt 'C 1 2/c 1'
_space_group_IT_number 15
_space_group_name_Hall '-C 2yc'
_cell_length_a 9.481
_cell_length_b 9.404
_cell_length_c 7.823
_cell_angle_alpha 90.00
_cell_angle_beta 122.46
_cell_angle_gamma 90.00
loop_
_atom_site_label
_atom_site_fract_x
_atom_site_fract_y
_atom_site_fract_z
Pm1 0.000 0.072 0.250
C1 0.246 0.356 0.227
I1 0.000 0.399 0.750
O1 0.125 0.090 0.610
O2 0.153 0.261 0.225
O3 0.229 0.414 0.061
```

As for the raw formation energy: -40.0 kcal/mol of atoms. The total magnetic moment is 0.000 μB/f.u.

***

[3]
# Pr8C3I3O

Crystalline Pr8C3I3O at its relaxed geometry (GGA-PBE, Alexandria via LeMat-Bulk).

```
data_Pr8C3I3O
_space_group_name_H-M_alt 'C 1 2/m 1'
_space_group_IT_number 12
_space_group_name_Hall '-C 2y'
_cell_length_a 13.379
_cell_length_b 7.699
_cell_length_c 8.990
_cell_angle_alpha 90.00
_cell_angle_beta 119.79
_cell_angle_gamma 90.00
loop_
_atom_site_label
_atom_site_fract_x
_atom_site_fract_y
_atom_site_fract_z
Pr1 0.026 0.248 0.325
Pr2 0.225 0.000 0.676
Pr3 0.226 0.500 0.675
C1 0.000 0.000 0.500
C2 0.250 0.250 0.500
I1 0.000 0.500 0.000
I2 0.250 0.250 0.000
O1 0.000 0.500 0.500
```

As for the raw formation energy: -19.3 kcal/mol of atoms. The total magnetic moment is 0.736 μB/f.u.

***

[4]
# PtCI2O

Crystalline PtCI2O at its relaxed geometry (GGA-PBE, Alexandria via LeMat-Bulk).

```
data_PtCI2O
_space_group_name_H-M_alt 'C 1 2/c 1'
_space_group_IT_number 15
_space_group_name_Hall '-C 2yc'
_cell_length_a 11.739
_cell_length_b 9.692
_cell_length_c 13.713
_cell_angle_alpha 90.00
_cell_angle_beta 113.90
_cell_angle_gamma 90.00
loop_
_atom_site_label
_atom_site_fract_x
_atom_site_fract_y
_atom_site_fract_z
Pt1 0.167 0.077 0.081
C1 0.172 0.444 0.912
I1 0.061 0.108 0.427
I2 0.247 0.271 0.227
O1 0.072 0.457 0.906
```

As for the raw formation energy: -9.1 kcal/mol of atoms. The total magnetic moment is 0.000 μB/f.u.

***

[5]
# PtCI2O

Crystalline PtCI2O at its relaxed geometry (GGA-PBE, Alexandria via LeMat-Bulk).

```
data_PtCI2O
_space_group_name_H-M_alt 'P 4/m m m'
_space_group_IT_number 123
_space_group_name_Hall '-P 4 2'
_cell_length_a 5.674
_cell_length_b 5.674
_cell_length_c 2.996
_cell_angle_alpha 90.00
_cell_angle_beta 90.00
_cell_angle_gamma 90.00
loop_
_atom_site_label
_atom_site_fract_x
_atom_site_fract_y
_atom_site_fract_z
Pt1 0.000 0.000 0.000
C1 0.500 0.500 0.500
I1 0.000 0.500 0.500
O1 0.500 0.500 0.000
```

As for the raw formation energy: 26.9 kcal/mol of atoms. The total magnetic moment is 0.000 μB/f.u.

***

[6]
# PtC4S2I2O2

Crystalline PtC4S2I2O2 at its relaxed geometry (GGA-PBE, Alexandria via LeMat-Bulk).

```
data_PtC4S2I2O2
_space_group_name_H-M_alt 'P -1'
_space_group_IT_number 2
_space_group_name_Hall '-P 1'
_cell_length_a 6.294
_cell_length_b 6.377
_cell_length_c 8.894
_cell_angle_alpha 73.98
_cell_angle_beta 71.04
_cell_angle_gamma 60.46
loop_
_atom_site_label
_atom_site_fract_x
_atom_site_fract_y
_atom_site_fract_z
Pt1 0.000 0.000 0.000
C1 0.016 0.395 0.547
C2 0.048 0.200 0.639
S1 0.066 0.928 0.735
I1 0.480 0.761 0.998
O1 0.316 0.728 0.676
```

As for the raw formation energy: 6.5 kcal/mol of atoms. The total magnetic moment is 0.000 μB/f.u.

***

[7]
# RbCIO2

Crystalline RbCIO2 at its relaxed geometry (GGA-PBE, Alexandria via LeMat-Bulk).

```
data_RbCIO2
_space_group_name_H-M_alt 'P 4/m m m'
_space_group_IT_number 123
_space_group_name_Hall '-P 4 2'
_cell_length_a 4.187
_cell_length_b 4.187
_cell_length_c 7.970
_cell_angle_alpha 90.00
_cell_angle_beta 90.00
_cell_angle_gamma 90.00
loop_
_atom_site_label
_atom_site_fract_x
_atom_site_fract_y
_atom_site_fract_z
Rb1 0.000 0.000 0.000
C1 0.500 0.500 0.500
I1 0.000 0.000 0.500
O1 0.000 0.500 0.000
```

As for the raw formation energy: 46.0 kcal/mol of atoms. The total magnetic moment is 0.783 μB/f.u.

***

[8]
# RbCIO2

Crystalline RbCIO2 at its relaxed geometry (GGA-PBE, Alexandria via LeMat-Bulk).

```
data_RbCIO2
_space_group_name_H-M_alt 'P 4/m m m'
_space_group_IT_number 123
_space_group_name_Hall '-P 4 2'
_cell_length_a 4.561
_cell_length_b 4.561
_cell_length_c 4.462
_cell_angle_alpha 90.00
_cell_angle_beta 90.00
_cell_angle_gamma 90.00
loop_
_atom_site_label
_atom_site_fract_x
_atom_site_fract_y
_atom_site_fract_z
Rb1 0.000 0.000 0.000
C1 0.500 0.500 0.500
I1 0.500 0.500 0.000
O1 0.000 0.500 0.500
```

As for the raw formation energy: 23.7 kcal/mol of atoms. The total magnetic moment is 1.670 μB/f.u.